Record 1
VASP calculation (PBE) on a relaxed PrPaNO crystal.

a = 4.045 Å, b = 4.045 Å, c = 8.539 Å
α = 90.00°, β = 90.00°, γ = 90.00°
Fractional coordinates of all 8 atoms:
Pr1 0.250 0.750 0.000
Pr2 0.750 0.250 0.000
Pa1 0.250 0.250 0.353
Pa2 0.750 0.750 0.647
N1 0.250 0.250 0.797
N2 0.750 0.750 0.203
O1 0.250 0.750 0.500
O2 0.750 0.250 0.500

Values from the calculation:
- ΔE to the lowest computed polymorph: 698 meV/atom

---

Record 2
VASP calculation (PBE) on a relaxed Zr3Al2CdNiIr2 crystal.

a = 3.471 Å, b = 7.230 Å, c = 7.230 Å
α = 119.41°, β = 90.00°, γ = 90.00°
Fractional coordinates of all 9 atoms:
Zr1 0.000 0.000 0.000
Zr2 0.000 0.190 0.600
Zr3 0.000 0.600 0.190
Al1 0.500 0.598 0.850
Al2 0.500 0.850 0.598
Cd1 0.500 0.352 0.352
Ni1 0.000 0.626 0.626
Ir1 0.500 0.262 0.919
Ir2 0.500 0.919 0.262

Values from the calculation:
- VASP energy: -7.07 eV per atom

---

It is found that the magnetization values, taken in the order of the records, are 2.03, 0.00 μB per cell.